1.
## PrEuCdGe (GGA-PBE)

Data for a relaxed structure of PrEuCdGe.

Values from the calculation:
DFT formation energy	-0.47	eV/atom
density of states at the Fermi level	0.69	states/eV per atom

The structure in POSCAR format:
```
PrEuCdGe
1.0
-4.664 -2.400 -1.138
-2.381 -3.113 3.667
-4.517 1.643 2.389
Pr Cd Eu Ge
1 1 1 1
Direct
0.000 0.000 0.000
0.750 0.750 0.750
0.500 0.500 0.500
0.250 0.250 0.250
```

2.
## EuPuCdGe (GGA-PBE)

Data for a relaxed structure of EuPuCdGe.

Values from the calculation:
DFT formation energy	-0.30	eV/atom
density of states at the Fermi level	3.20	states/eV per atom

The structure in POSCAR format:
```
EuPuCdGe
1.0
5.288 0.000 0.000
2.644 4.580 0.000
2.644 1.527 4.318
Pu Cd Ge Eu
1 1 1 1
Direct
0.500 0.500 0.500
0.750 0.750 0.750
0.250 0.250 0.250
0.000 0.000 0.000
```

3.
## SmEuCdGe (GGA-PBE)

Data for a relaxed structure of SmEuCdGe.

Values from the calculation:
DFT formation energy	-0.47	eV/atom
density of states at the Fermi level	0.68	states/eV per atom

The structure in POSCAR format:
```
SmEuCdGe
1.0
-2.445 4.710 -0.138
-4.580 0.537 -2.631
-4.529 0.719 2.675
Cd Ge Sm Eu
1 1 1 1
Direct
0.250 0.250 0.250
0.750 0.750 0.750
0.500 0.500 0.500
0.000 0.000 0.000
```

4.
## EuCdSnGe (GGA-PBE)

Data for a relaxed structure of EuCdSnGe.

Values from the calculation:
DFT formation energy	-0.23	eV/atom
density of states at the Fermi level	0.64	states/eV per atom

The structure in POSCAR format:
```
EuCdSnGe
1.0
5.258 0.000 0.000
2.629 4.554 0.000
2.629 1.518 4.293
Ge Sn Eu Cd
1 1 1 1
Direct
0.250 0.250 0.250
0.500 0.500 0.500
0.000 0.000 0.000
0.750 0.750 0.750
```

5.
## EuTmCdGe (GGA-PBE)

Data for a relaxed structure of EuTmCdGe.

Values from the calculation:
DFT formation energy	-0.43	eV/atom
density of states at the Fermi level	0.70	states/eV per atom

The structure in POSCAR format:
```
EuTmCdGe
1.0
5.224 0.000 0.000
2.612 4.524 0.000
2.612 1.508 4.265
Eu Cd Ge Tm
1 1 1 1
Direct
0.250 0.250 0.250
0.000 0.000 0.000
0.500 0.500 0.500
0.750 0.750 0.750
```

6.
## EuZnCdGe (GGA-PBE)

Data for a relaxed structure of EuZnCdGe.

Values from the calculation:
DFT formation energy	-0.27	eV/atom
density of states at the Fermi level	0.24	states/eV per atom

The structure in POSCAR format:
```
EuZnCdGe
1.0
-1.457 1.913 4.393
-2.107 -2.962 3.445
2.502 -1.146 4.184
Cd Zn Eu Ge
1 1 1 1
Direct
0.000 0.000 0.000
0.250 0.250 0.250
0.500 0.500 0.500
0.750 0.750 0.750
```

7.
## Eu3Cd5H12 (GGA-PBE)

Data for a relaxed structure of Eu3Cd5H12.

Values from the calculation:
final energy	-307.694	eV for the cell shown

The structure in POSCAR format:
```
Eu3Cd5H12
1.0
11.165 0.000 0.000
-3.722 10.526 0.000
-3.722 -5.263 9.116
Cd H Eu
20 48 12
Direct
0.500 0.000 0.500
0.500 0.500 0.000
0.625 0.750 0.875
0.000 0.000 0.000
0.625 0.875 0.250
0.875 0.625 0.750
0.125 0.750 0.375
0.000 0.500 0.500
0.875 0.250 0.625
0.000 0.000 0.500
0.000 0.500 0.000
0.250 0.875 0.125
0.375 0.250 0.125
0.500 0.000 0.000
0.250 0.375 0.625
0.125 0.375 0.250
0.375 0.125 0.750
0.750 0.125 0.875
0.500 0.500 0.500
0.750 0.625 0.375
0.908 0.092 0.631
0.315 0.776 0.408
0.815 0.908 0.039
0.408 0.131 0.592
0.185 0.092 0.724
0.092 0.908 0.369
0.724 0.592 0.185
0.539 0.224 0.131
0.039 0.408 0.815
0.408 0.039 0.315
0.185 0.092 0.961
0.092 0.185 0.461
0.724 0.131 0.039
0.592 0.869 0.408
0.631 0.592 0.908
0.408 0.369 0.592
0.961 0.369 0.276
0.815 0.908 0.276
0.592 0.631 0.408
0.369 0.408 0.092
0.039 0.631 0.724
0.592 0.961 0.685
0.461 0.685 0.092
0.276 0.408 0.815
0.908 0.815 0.776
0.908 0.092 0.869
0.224 0.539 0.631
0.131 0.408 0.092
0.869 0.276 0.461
0.869 0.592 0.908
0.961 0.592 0.185
0.131 0.724 0.539
0.908 0.815 0.539
0.276 0.869 0.961
0.369 0.961 0.776
0.592 0.724 0.685
0.408 0.276 0.315
0.461 0.776 0.869
0.776 0.461 0.369
0.776 0.315 0.908
0.539 0.315 0.908
0.092 0.908 0.131
0.224 0.685 0.092
0.092 0.185 0.224
0.631 0.039 0.224
0.685 0.224 0.592
0.685 0.461 0.592
0.315 0.539 0.408
0.125 0.250 0.875
0.375 0.625 0.250
0.750 0.375 0.125
0.625 0.250 0.375
0.125 0.875 0.750
0.250 0.125 0.375
0.375 0.750 0.625
0.875 0.750 0.125
0.750 0.875 0.625
0.250 0.625 0.875
0.875 0.125 0.250
0.625 0.375 0.750
```

8.
## Eu3CdH (GGA-PBE)

Data for a relaxed structure of Eu3CdH.

Values from the calculation:
final energy	-36.495	eV for the cell shown
density of states at the Fermi level	0.87	states/eV per atom

The structure in POSCAR format:
```
Eu3CdH
1.0
5.139 0.000 0.000
0.000 5.139 0.000
0.000 0.000 5.139
Eu H Cd
3 1 1
Direct
0.000 0.500 0.000
0.000 0.000 0.500
0.500 0.000 0.000
0.000 0.000 0.000
0.500 0.500 0.500
```

9.
## Eu2HfCd (GGA-PBE)

Data for a relaxed structure of Eu2HfCd.

Values from the calculation:
DFT formation energy	0.38	eV/atom
density of states at the Fermi level	1.14	states/eV per atom

The structure in POSCAR format:
```
Eu2HfCd
1.0
3.311 0.000 0.000
1.656 2.868 0.000
1.656 0.956 12.067
Hf Eu Cd
1 2 1
Direct
0.000 0.000 0.000
0.088 0.088 0.736
0.912 0.912 0.264
0.500 0.500 0.500
```

10.
## EuCdHg2 (GGA-PBE)

Data for a relaxed structure of EuCdHg2.

Values from the calculation:
DFT formation energy	-0.40	eV/atom
density of states at the Fermi level	2.52	states/eV per atom
distance to the lowest polymorph of the same formula	0	meV per atom

The structure in POSCAR format:
```
EuCdHg2
1.0
-1.309 4.753 1.804
-4.262 0.583 3.009
0.522 1.105 5.106
Cd Hg Eu
1 2 1
Direct
0.500 0.500 0.500
0.750 0.750 0.750
0.250 0.250 0.250
0.000 0.000 0.000
```